YTc2NiAs after structural relaxation. Source: Alexandria, functional PBE.

Geometry as extended XYZ:
```
5
Lattice="4.695 0.000 0.000 0.000 4.695 0.000 0.000 0.000 4.307" Properties=species:S:1:pos:R:3 pbc="T T T"
Y 0.000 0.000 0.000
Tc 0.000 2.347 2.154
Tc 2.347 0.000 2.154
Ni 2.347 2.347 2.154
As 2.347 2.347 0.000
```

Results
ΔE_f, eV per atom: 0.584
Magnetic moment, μB per formula unit: 3.3